Computed, not measured: an optimized crystal structure of U3Re at the PBE-GGA level of DFT.

Properties
The size of the total moment comes out at 0.0 μB/f.u. The density of states at the Fermi level is 8.1 states/eV/f.u. The value obtained for the formation energy is 175 meV per atom. As for the energy above the lowest structure with this stoichiometry: 0.1217 eV per atom. As for the space group: Imm2, No. 44. For the total DFT energy (no corrections), the calculation gives -0.838 Ry/atom.

a b c (Å): 2.887 5.150 5.978
angles (deg): 115.52 103.98 90.00
Atoms (fractional coordinates):
U (0.735, 0.006, 0.469)
U (0.265, 0.536, 0.531)
Re (0.000, 0.071, 0.000)
U (0.500, 0.554, 0.000)

***

Computed, not measured: an optimized crystal structure of Er4HfRu5 at the PBE-GGA level of DFT.

Properties
The size of the total moment comes out at 0.0 μB/f.u. The density of states at the Fermi level is 9.7 states/eV/f.u. The value obtained for the formation energy is -482 meV per atom. As for the space group: P4/mmm, No. 123. For the total DFT energy (no corrections), the calculation gives -0.584 Ry/atom.

a b c (Å): 3.333 3.333 16.794
angles (deg): 90.00 90.00 90.00
Atoms (fractional coordinates):
Er (0.000, 0.000, 0.399)
Hf (0.000, 0.000, 0.000)
Ru (0.500, 0.500, 0.500)
Ru (0.500, 0.500, 0.703)
Er (0.000, 0.000, 0.802)
Ru (0.500, 0.500, 0.909)
Er (0.000, 0.000, 0.601)
Er (0.000, 0.000, 0.198)
Ru (0.500, 0.500, 0.297)
Ru (0.500, 0.500, 0.091)

***

Computed, not measured: an optimized crystal structure of Sr2ScHg at the PBE-GGA level of DFT.

Properties
The size of the total moment comes out at 0.0 μB/f.u. The density of states at the Fermi level is 6.2 states/eV/f.u. The value obtained for the formation energy is 187 meV per atom. As for the energy above the lowest structure with this stoichiometry: 0.3164 eV per atom. As for the space group: I-42d, No. 122. For the total DFT energy (no corrections), the calculation gives -0.170 Ry/atom.

a b c (Å): 9.348 9.348 7.415
angles (deg): 50.92 50.92 90.00
Atoms (fractional coordinates):
Hg (0.750, 0.250, 0.500)
Sr (0.076, 0.625, 0.250)
Sr (0.875, 0.924, 0.750)
Sc (0.250, 0.750, 0.500)
Sr (0.674, 0.125, 0.250)
Hg (0.000, 0.000, 0.000)
Sr (0.375, 0.326, 0.750)
Sc (0.500, 0.500, 0.000)

***

Computed, not measured: an optimized crystal structure of V3Ge2 at the PBE-GGA level of DFT.

Properties
The size of the total moment comes out at 0.6 μB/f.u. The density of states at the Fermi level is 5.1 states/eV/f.u. The value obtained for the formation energy is -107 meV per atom. As for the space group: I4_1/amd, No. 141. For the total DFT energy (no corrections), the calculation gives -0.546 Ry/atom.

a b c (Å): 4.777 4.777 7.172
angles (deg): 109.45 109.45 90.00
Each line ends with the local moment (μB).
Atoms (fractional coordinates):
V (0.632, 0.382, 0.765)  0.01
V (0.132, 0.882, 0.265)  0.01
V (0.132, 0.382, 0.265)  0.01
V (0.757, 0.757, 0.515)  0.49
Ge (0.313, 0.813, 0.626)  0.01
Ge (0.702, 0.202, 0.403)  0.01
Ge (0.952, 0.952, 0.903)  0.01
Ge (0.563, 0.563, 0.126)  0.01
V (0.507, 0.007, 0.015)  0.49
V (0.132, 0.382, 0.765)  0.01

***

Computed, not measured: an optimized crystal structure of Sr2RhCl at the PBE-GGA level of DFT.

Properties
The size of the total moment comes out at 0.0 μB/f.u. The density of states at the Fermi level is 0.6 states/eV/f.u. As for the energy above the lowest structure with this stoichiometry: 0.0240 eV per atom. As for the uncorrected formation energy: -958.5 meV/atom. As for the space group: Pmmm, No. 47. For the total DFT energy (no corrections), the calculation gives -0.301 Ry/atom.

a b c (Å): 4.357 4.370 5.965
angles (deg): 90.00 90.00 90.00
Atoms (fractional coordinates):
Sr (0.500, 0.500, 0.375)
Cl (0.000, 0.000, 0.375)
Sr (0.000, 0.000, 0.875)
Rh (0.500, 0.500, 0.875)

***

Computed, not measured: an optimized crystal structure of Ac2MgPd4Pb3 at the PBE-GGA level of DFT.

Properties
The size of the total moment comes out at 0.0 μB/f.u. The density of states at the Fermi level is 5.7 states/eV/f.u. The value obtained for the formation energy is -583 meV per atom. As for the space group: P-4m2, No. 115. For the total DFT energy (no corrections), the calculation gives -0.349 Ry/atom.

a b c (Å): 4.763 4.763 11.005
angles (deg): 90.00 90.00 90.00
Atoms (fractional coordinates):
Pb (0.500, 0.000, 0.872)
Pd (0.500, 0.000, 0.626)
Mg (0.500, 0.500, 0.500)
Ac (0.500, 0.000, 0.238)
Pd (0.000, 0.000, 0.000)
Ac (0.000, 0.500, 0.762)
Pd (0.000, 0.500, 0.374)
Pd (0.500, 0.500, 0.000)
Pb (0.000, 0.500, 0.128)
Pb (0.000, 0.000, 0.500)

***

Computed, not measured: an optimized crystal structure of YZnRe2 at the PBE-GGA level of DFT.

Properties
The size of the total moment comes out at 0.0 μB/f.u. The density of states at the Fermi level is 2.1 states/eV/f.u. The value obtained for the formation energy is 344 meV per atom. As for the space group: P2/m, No. 10. For the total DFT energy (no corrections), the calculation gives -0.574 Ry/atom.

a b c (Å): 4.809 3.194 4.719
angles (deg): 83.94 90.00 90.00
Atoms (fractional coordinates):
Zn (0.500, 0.750, 0.750)
Re (0.000, 0.584, 0.517)
Re (0.000, 0.916, 0.983)
Y (0.500, 0.250, 0.250)

***

Computed, not measured: an optimized crystal structure of CsAl2Pd2 at the PBE-GGA level of DFT.

Properties
The size of the total moment comes out at 0.0 μB/f.u. The density of states at the Fermi level is 1.5 states/eV/f.u. The value obtained for the formation energy is -177 meV per atom. As for the energy above the lowest structure with this stoichiometry: 0.1689 eV per atom. As for the space group: P4/mbm, No. 127. For the total DFT energy (no corrections), the calculation gives -0.288 Ry/atom.

a b c (Å): 8.302 8.302 3.000
angles (deg): 90.00 90.00 90.00
Atoms (fractional coordinates):
Pd (0.654, 0.154, 0.000)
Al (0.617, 0.883, 0.500)
Cs (0.000, 0.000, 0.000)
Cs (0.500, 0.500, 0.000)
Al (0.883, 0.383, 0.500)
Al (0.383, 0.117, 0.500)
Pd (0.346, 0.846, 0.000)
Pd (0.154, 0.346, 0.000)
Pd (0.846, 0.654, 0.000)
Al (0.117, 0.617, 0.500)

***

Computed, not measured: an optimized crystal structure of SrYV2Sn at the PBE-GGA level of DFT.

Properties
The size of the total moment comes out at 0.3 μB/f.u. The density of states at the Fermi level is 10.2 states/eV/f.u. The value obtained for the formation energy is 1153 meV per atom. As for the space group: P4/mmm, No. 123. For the total DFT energy (no corrections), the calculation gives -0.362 Ry/atom.

a b c (Å): 5.078 5.783 5.078
angles (deg): 90.00 90.00 90.00
Each line ends with the local moment (μB).
Atoms (fractional coordinates):
Sr (0.000, 0.500, 0.000)  0.02
V (0.000, 0.000, 0.500)  -0.04
V (0.500, 0.000, 0.000)  -0.26
Sn (0.000, 0.000, 0.000)  0.01
Y (0.500, 0.500, 0.500)  -0.05

***

Computed, not measured: an optimized crystal structure of MgPtCl2 at the PBE-GGA level of DFT.

Properties
The size of the total moment comes out at 0.0 μB/f.u. The density of states at the Fermi level is 1.1 states/eV/f.u. As for the energy above the lowest structure with this stoichiometry: 0.4335 eV per atom. As for the uncorrected formation energy: -432.0 meV/atom. As for the space group: I-42d, No. 122. For the total DFT energy (no corrections), the calculation gives -0.240 Ry/atom.

a b c (Å): 4.572 4.572 8.417
angles (deg): 74.24 74.24 90.00
Atoms (fractional coordinates):
Pt (0.750, 0.250, 0.500)
Cl (0.625, 0.125, 0.250)
Pt (0.000, 0.000, 0.000)
Cl (0.375, 0.375, 0.750)
Cl (0.125, 0.625, 0.250)
Cl (0.875, 0.875, 0.750)
Mg (0.500, 0.500, 0.000)
Mg (0.250, 0.750, 0.500)

***

Computed, not measured: an optimized crystal structure of HfTl2I at the PBE-GGA level of DFT.

Properties
The size of the total moment comes out at 0.0 μB/f.u. The density of states at the Fermi level is 4.7 states/eV/f.u. As for the energy above the lowest structure with this stoichiometry: 0.0000 eV per atom. As for the uncorrected formation energy: 490.6 meV/atom. As for the space group: I-42d, No. 122. For the total DFT energy (no corrections), the calculation gives -0.262 Ry/atom.

a b c (Å): 4.398 4.398 12.377
angles (deg): 79.77 79.77 90.00
Atoms (fractional coordinates):
Hf (0.000, 0.000, 0.000)
Tl (0.375, 0.361, 0.750)
I (0.250, 0.750, 0.500)
Tl (0.639, 0.125, 0.250)
Tl (0.875, 0.889, 0.750)
Hf (0.750, 0.250, 0.500)
I (0.500, 0.500, 0.000)
Tl (0.111, 0.625, 0.250)

***

Computed, not measured: an optimized crystal structure of La2TlZnNi at the PBE-GGA level of DFT.

Properties
The size of the total moment comes out at 0.0 μB/f.u. The density of states at the Fermi level is 4.9 states/eV/f.u. The value obtained for the formation energy is -294 meV per atom. As for the space group: P4/mmm, No. 123. For the total DFT energy (no corrections), the calculation gives -0.305 Ry/atom.

a b c (Å): 5.375 5.375 4.703
angles (deg): 90.00 90.00 90.00
Atoms (fractional coordinates):
La (0.500, 0.000, 0.000)
Zn (0.000, 0.000, 0.500)
La (0.000, 0.500, 0.000)
Tl (0.500, 0.500, 0.500)
Ni (0.000, 0.000, 0.000)

***

Computed, not measured: an optimized crystal structure of SbMo2I2 at the PBE-GGA level of DFT.

Properties
The size of the total moment comes out at 0.7 μB/f.u. The density of states at the Fermi level is 3.1 states/eV/f.u. As for the energy above the lowest structure with this stoichiometry: 0.0925 eV per atom. As for the uncorrected formation energy: 889.4 meV/atom. As for the space group: I4/mmm, No. 139. For the total DFT energy (no corrections), the calculation gives -0.359 Ry/atom.

a b c (Å): 4.881 4.881 6.421
angles (deg): 67.66 67.66 90.00
Each line ends with the local moment (μB).
Atoms (fractional coordinates):
Mo (0.399, 0.399, 0.203)  0.34
I (0.750, 0.250, 0.500)  -0.01
Mo (0.601, 0.601, 0.797)  0.34
Sb (0.000, 0.000, 0.000)  -0.06
I (0.250, 0.750, 0.500)  -0.01